## Pr2InCu9 (PBE)

Data for a relaxed structure of Pr2InCu9.

a = 5.163 Å, b = 5.163 Å, c = 9.002 Å
α = 73.34°, β = 73.34°, γ = 60.00°
Atoms (fractional coordinates):
Pr (0.865, 0.865, 0.406)
Pr (0.135, 0.135, 0.594)
In (0.000, 0.000, 0.000)
Cu (0.667, 0.667, 0.999)
Cu (0.333, 0.333, 0.001)
Cu (0.500, 0.500, 0.500)
Cu (0.420, 0.420, 0.239)
Cu (0.921, 0.420, 0.239)
Cu (0.420, 0.921, 0.239)
Cu (0.580, 0.580, 0.761)
Cu (0.580, 0.079, 0.761)
Cu (0.079, 0.580, 0.761)

The formation energy is -0.05 eV/atom.

## Dy3Tm2ScAs6 (PBE)

Data for a relaxed structure of Dy3Tm2ScAs6.

a = 4.065 Å, b = 8.122 Å, c = 9.081 Å
α = 102.87°, β = 102.93°, γ = 90.00°
Atoms (fractional coordinates):
Dy (0.500, 0.500, 0.000)
Dy (0.833, 0.166, 0.666)
Dy (0.167, 0.834, 0.334)
Tm (0.834, 0.668, 0.668)
Tm (0.166, 0.332, 0.332)
Sc (0.500, 0.000, 0.000)
As (0.337, 0.916, 0.674)
As (0.667, 0.581, 0.335)
As (0.663, 0.084, 0.326)
As (0.000, 0.240, 0.001)
As (0.000, 0.760, 0.999)
As (0.333, 0.419, 0.665)

The formation energy is -1.49 eV/atom.

## CaAuCl2 (PBE)

Data for a relaxed structure of CaAuCl2.

a = 5.064 Å, b = 5.064 Å, c = 5.064 Å
α = 60.00°, β = 60.00°, γ = 60.00°
Atoms (fractional coordinates):
Ca (0.750, 0.750, 0.750)
Au (0.500, 0.500, 0.500)
Cl (0.000, 0.000, 0.000)
Cl (0.250, 0.250, 0.250)

Its energy above the most stable polymorph in this dataset is 0.366 eV/atom. As for the formation energy without anion corrections: -0.8607 eV/atom.

## Ca2ZrF (PBE)

Data for a relaxed structure of Ca2ZrF.

a = 7.070 Å, b = 7.070 Å, c = 6.604 Å
α = 57.64°, β = 57.64°, γ = 90.00°
Atoms (fractional coordinates):
Ca (0.494, 0.125, 0.250)
Ca (0.256, 0.625, 0.250)
Ca (0.375, 0.506, 0.750)
Ca (0.875, 0.744, 0.750)
Zr (0.000, 0.000, 0.000)
Zr (0.750, 0.250, 0.500)
F (0.500, 0.500, 0.000)
F (0.250, 0.750, 0.500)

Its energy above the most stable polymorph in this dataset is 0.000 eV/atom. As for the formation energy without anion corrections: -0.8634 eV/atom.

## Ba2ScBr (PBE)

Data for a relaxed structure of Ba2ScBr.

a = 6.103 Å, b = 6.103 Å, c = 6.103 Å
α = 60.00°, β = 60.00°, γ = 60.00°
Atoms (fractional coordinates):
Ba (0.000, 0.000, 0.000)
Ba (0.250, 0.250, 0.250)
Br (0.500, 0.500, 0.500)
Sc (0.750, 0.750, 0.750)

Its energy above the most stable polymorph in this dataset is 0.596 eV/atom. As for the formation energy without anion corrections: 0.0898 eV/atom.

## Hf3Bi (PBE)

Data for a relaxed structure of Hf3Bi.

a = 6.334 Å, b = 6.334 Å, c = 5.209 Å
α = 90.00°, β = 90.00°, γ = 120.00°
Atoms (fractional coordinates):
Hf (0.162, 0.325, 0.250)
Hf (0.675, 0.838, 0.250)
Hf (0.162, 0.838, 0.250)
Hf (0.838, 0.675, 0.750)
Hf (0.325, 0.162, 0.750)
Hf (0.838, 0.162, 0.750)
Bi (0.333, 0.667, 0.750)
Bi (0.667, 0.333, 0.250)

The formation energy is 0.00 eV/atom.

## Ce2Dy3ThSe6 (PBE)

Data for a relaxed structure of Ce2Dy3ThSe6.

a = 4.090 Å, b = 8.382 Å, c = 9.336 Å
α = 105.13°, β = 102.65°, γ = 90.00°
Atoms (fractional coordinates):
Ce (0.835, 0.669, 0.669)
Ce (0.165, 0.331, 0.331)
Dy (0.500, 0.500, 0.000)
Dy (0.834, 0.167, 0.668)
Dy (0.166, 0.833, 0.332)
Th (0.500, 0.000, 0.000)
Se (0.330, 0.924, 0.660)
Se (0.665, 0.589, 0.329)
Se (0.670, 0.076, 0.340)
Se (0.997, 0.259, 0.993)
Se (0.003, 0.741, 0.007)
Se (0.335, 0.411, 0.671)

As for the formation energy without anion corrections: -1.7418 eV/atom.

## Mo2PdRu (PBE)

Data for a relaxed structure of Mo2PdRu.

a = 7.047 Å, b = 7.047 Å, c = 5.660 Å
α = 51.50°, β = 51.50°, γ = 90.00°
Atoms (fractional coordinates):
Ru (0.500, 0.500, 0.000)
Ru (0.250, 0.750, 0.500)
Mo (0.600, 0.125, 0.250)
Mo (0.150, 0.625, 0.250)
Mo (0.375, 0.400, 0.750)
Mo (0.875, 0.850, 0.750)
Pd (0.000, 0.000, 0.000)
Pd (0.750, 0.250, 0.500)

The formation energy is 0.59 eV/atom. Its energy above the most stable polymorph in this dataset is 0.589 eV/atom.

## SrSnSbRu2 (PBE)

Data for a relaxed structure of SrSnSbRu2.

a = 4.938 Å, b = 5.677 Å, c = 4.938 Å
α = 90.00°, β = 90.00°, γ = 90.00°
Atoms (fractional coordinates):
Sb (0.500, 0.500, 0.500)
Sn (0.000, 0.500, 0.000)
Sr (0.000, 0.000, 0.000)
Ru (0.000, 0.000, 0.500)
Ru (0.500, 0.000, 0.000)

As for the formation energy without anion corrections: 1.9377 eV/atom.

## TbSm10Dy4 (PBE)

Data for a relaxed structure of TbSm10Dy4.

a = 7.751 Å, b = 9.505 Å, c = 9.505 Å
α = 80.43°, β = 65.94°, γ = 65.94°
Atoms (fractional coordinates):
Tb (0.000, 0.000, 0.000)
Sm (0.250, 0.500, 0.500)
Sm (0.650, 0.300, 0.899)
Sm (0.050, 0.101, 0.300)
Sm (0.450, 0.899, 0.700)
Sm (0.850, 0.700, 0.101)
Sm (0.350, 0.700, 0.101)
Sm (0.750, 0.500, 0.500)
Sm (0.150, 0.300, 0.899)
Sm (0.550, 0.101, 0.300)
Sm (0.950, 0.899, 0.700)
Dy (0.400, 0.801, 0.400)
Dy (0.800, 0.600, 0.801)
Dy (0.200, 0.400, 0.199)
Dy (0.600, 0.199, 0.600)

The formation energy is 0.71 eV/atom.

## Zr6FeRh5 (PBE)

Data for a relaxed structure of Zr6FeRh5.

a = 4.646 Å, b = 6.577 Å, c = 7.336 Å
α = 90.00°, β = 71.54°, γ = 90.00°
Atoms (fractional coordinates):
Rh (0.668, 0.500, 0.664)
Rh (0.332, 0.000, 0.335)
Rh (0.000, 0.500, 0.000)
Rh (0.668, 0.000, 0.665)
Rh (0.332, 0.500, 0.336)
Fe (0.000, 0.000, 0.000)
Zr (0.836, 0.752, 0.328)
Zr (0.836, 0.248, 0.328)
Zr (0.500, 0.246, 0.000)
Zr (0.500, 0.754, 0.000)
Zr (0.164, 0.752, 0.672)
Zr (0.164, 0.248, 0.672)

The formation energy is -0.66 eV/atom.

## Mg2AgRu (PBE)

Data for a relaxed structure of Mg2AgRu.

a = 3.278 Å, b = 3.278 Å, c = 6.263 Å
α = 90.00°, β = 90.00°, γ = 90.00°
Atoms (fractional coordinates):
Ag (0.500, 0.500, 0.750)
Mg (0.000, 0.000, 0.024)
Mg (0.000, 0.000, 0.476)
Ru (0.500, 0.500, 0.250)

The formation energy is -0.05 eV/atom.

## TaAuSe2 (PBE)

Data for a relaxed structure of TaAuSe2.

a = 3.318 Å, b = 3.318 Å, c = 6.654 Å
α = 90.00°, β = 90.00°, γ = 90.00°
Atoms (fractional coordinates):
Au (0.500, 0.500, 0.750)
Se (0.000, 0.000, 0.028)
Se (0.000, 0.000, 0.472)
Ta (0.500, 0.500, 0.250)

Its energy above the most stable polymorph in this dataset is 0.223 eV/atom. As for the formation energy without anion corrections: -0.1972 eV/atom.

## AcPu2Se3 (PBE)

Data for a relaxed structure of AcPu2Se3.

a = 4.266 Å, b = 6.062 Å, c = 7.391 Å
α = 114.21°, β = 106.77°, γ = 90.00°
Atoms (fractional coordinates):
Ac (0.000, 0.500, 0.000)
Pu (0.664, 0.164, 0.328)
Pu (0.336, 0.836, 0.672)
Se (0.321, 0.321, 0.642)
Se (0.000, 0.000, 0.000)
Se (0.679, 0.679, 0.358)

As for the formation energy without anion corrections: -1.6144 eV/atom.

## TbInPd4 (PBE)

Data for a relaxed structure of TbInPd4.

a = 5.388 Å, b = 5.388 Å, c = 5.388 Å
α = 60.00°, β = 60.00°, γ = 60.00°
Atoms (fractional coordinates):
Tb (0.250, 0.250, 0.250)
Pd (0.625, 0.625, 0.124)
Pd (0.625, 0.124, 0.625)
Pd (0.625, 0.625, 0.625)
Pd (0.124, 0.625, 0.625)
In (0.000, 0.000, 0.000)

The formation energy is -0.67 eV/atom. Its energy above the most stable polymorph in this dataset is 0.000 eV/atom.

## Mg2CrBi (PBE)

Data for a relaxed structure of Mg2CrBi.

a = 8.179 Å, b = 8.179 Å, c = 6.496 Å
α = 50.99°, β = 50.99°, γ = 90.00°
Atoms (fractional coordinates):
Cr (0.500, 0.500, 0.000)
Cr (0.250, 0.750, 0.500)
Mg (0.614, 0.125, 0.250)
Mg (0.136, 0.625, 0.250)
Mg (0.375, 0.386, 0.750)
Mg (0.875, 0.864, 0.750)
Bi (0.000, 0.000, 0.000)
Bi (0.750, 0.250, 0.500)

The formation energy is 0.46 eV/atom.

## CaAsRh2 (PBE)

Data for a relaxed structure of CaAsRh2.

a = 5.524 Å, b = 5.524 Å, c = 5.524 Å
α = 145.85°, β = 132.62°, γ = 59.68°
Atoms (fractional coordinates):
As (0.528, 0.528, 0.000)
Rh (0.988, 0.988, 0.000)
Rh (0.722, 0.222, 0.500)
Ca (0.262, 0.762, 0.500)

The formation energy is -0.37 eV/atom.

## SmTmAlAu (PBE)

Data for a relaxed structure of SmTmAlAu.

a = 5.154 Å, b = 5.154 Å, c = 5.154 Å
α = 60.00°, β = 60.00°, γ = 60.00°
Atoms (fractional coordinates):
Tm (0.250, 0.250, 0.250)
Au (0.000, 0.000, 0.000)
Al (0.500, 0.500, 0.500)
Sm (0.750, 0.750, 0.750)

The formation energy is -0.54 eV/atom.

## LaTb12In3 (PBE)

Data for a relaxed structure of LaTb12In3.

a = 4.882 Å, b = 4.882 Å, c = 20.042 Å
α = 90.00°, β = 90.00°, γ = 90.00°
Atoms (fractional coordinates):
La (0.000, 0.000, 0.000)
Tb (0.500, 0.500, 0.000)
Tb (0.500, 0.500, 0.258)
Tb (0.500, 0.500, 0.500)
Tb (0.500, 0.500, 0.742)
Tb (0.500, 0.000, 0.134)
Tb (0.500, 0.000, 0.378)
Tb (0.500, 0.000, 0.622)
Tb (0.500, 0.000, 0.866)
Tb (0.000, 0.500, 0.134)
Tb (0.000, 0.500, 0.378)
Tb (0.000, 0.500, 0.622)
Tb (0.000, 0.500, 0.866)
In (0.000, 0.000, 0.258)
In (0.000, 0.000, 0.500)
In (0.000, 0.000, 0.742)

The formation energy is -0.18 eV/atom.

## PtRhS (PBE)

Data for a relaxed structure of PtRhS.

a = 6.158 Å, b = 3.083 Å, c = 5.325 Å
α = 90.00°, β = 106.69°, γ = 90.00°
Atoms (fractional coordinates):
S (0.307, 0.000, 0.459)
S (0.307, 0.500, 0.959)
Rh (0.078, 0.000, 0.050)
Rh (0.078, 0.500, 0.550)
Pt (0.695, 0.000, 0.587)
Pt (0.695, 0.500, 0.087)

Its energy above the most stable polymorph in this dataset is 0.013 eV/atom. As for the formation energy without anion corrections: -0.1231 eV/atom.

Number 1: ρ 8.20 Mg/m³. Number 2: ρ 7.71 Mg/m³. Number 3: ρ 5.57 Mg/m³. Number 4: ρ 2.93 Mg/m³. Number 5: ρ 4.13 Mg/m³. Number 6: ρ 13.66 Mg/m³. Number 7: ρ 8.13 Mg/m³. Number 8: ρ 9.95 Mg/m³. Number 9: ρ 6.36 Mg/m³. Number 10: ρ 6.58 Mg/m³. Number 11: ρ 8.73 Mg/m³. Number 12: ρ 6.36 Mg/m³. Number 13: ρ 12.14 Mg/m³. Number 14: ρ 9.56 Mg/m³. Number 15: ρ 10.50 Mg/m³. Number 16: ρ 5.20 Mg/m³. Number 17: ρ 7.72 Mg/m³. Number 18: ρ 9.32 Mg/m³. Number 19: ρ 8.31 Mg/m³. Number 20: ρ 11.32 Mg/m³.